(1)
A geometry-optimized Li2RuW structure, computed with GGA-PBE.

Summary:
magnetic moment	0.000	μB/atom
density of states at the Fermi level	0.95	states/eV/f.u.
DFT formation energy	158	meV/atom
polymorph energy (0 for the lowest one)	0.0	meV per atom
total energy	-6.357	eV per atom

The structure in CIF format:
```
data_Li2RuW
_chemical_formula_sum 'Li6 Ru3 W3'
_space_group_name_H-M_alt 'R 3 m'
_space_group_IT_number 160
_space_group_name_Hall 'R 3 -2"'
_cell_length_a 2.7690
_cell_length_b 2.7690
_cell_length_c 28.5403
_cell_angle_alpha 90.00
_cell_angle_beta 90.00
_cell_angle_gamma 120.00
loop_
_atom_site_label
_atom_site_fract_x
_atom_site_fract_y
_atom_site_fract_z
Li1 0.0000 0.0000 0.0000
Li2 0.0000 0.0000 0.2405
Ru1 0.0000 0.0000 0.7460
W1 0.0000 0.0000 0.4869
```

(2)
A geometry-optimized Li2RuW structure, computed with GGA-PBE.

Summary:
magnetic moment	0.000	μB/atom
density of states at the Fermi level	5.13	states/eV/f.u.
DFT formation energy	811	meV/atom
polymorph energy (0 for the lowest one)	653.7	meV per atom
total energy	-5.703	eV per atom

The structure in CIF format:
```
data_Li2RuW
_chemical_formula_sum 'Li8 Ru4 W4'
_space_group_name_H-M_alt 'F m -3 m'
_space_group_IT_number 225
_space_group_name_Hall '-F 4 2 3'
_cell_length_a 5.870
_cell_length_b 5.870
_cell_length_c 5.870
_cell_angle_alpha 90.00
_cell_angle_beta 90.00
_cell_angle_gamma 90.00
loop_
_atom_site_label
_atom_site_fract_x
_atom_site_fract_y
_atom_site_fract_z
Li1 0.250 0.250 0.250
Ru1 0.000 0.000 0.000
W1 0.000 0.000 0.500
```

(3)
A geometry-optimized Li2RuW structure, computed with GGA-PBE.

Summary:
magnetic moment	0.000	μB/atom
density of states at the Fermi level	2.64	states/eV/f.u.
DFT formation energy	621	meV/atom
polymorph energy (0 for the lowest one)	463.2	meV per atom
total energy	-5.893	eV per atom

The structure in CIF format:
```
data_Li2RuW
_chemical_formula_sum 'Li2 Ru1 W1'
_space_group_name_H-M_alt 'P 4/m m m'
_space_group_IT_number 123
_space_group_name_Hall '-P 4 2'
_cell_length_a 3.211
_cell_length_b 3.211
_cell_length_c 5.070
_cell_angle_alpha 90.00
_cell_angle_beta 90.00
_cell_angle_gamma 90.00
loop_
_atom_site_label
_atom_site_fract_x
_atom_site_fract_y
_atom_site_fract_z
Li1 0.000 0.000 0.228
Ru1 0.500 0.500 0.000
W1 0.500 0.500 0.500
```

(4)
A geometry-optimized Li2RuW structure, computed with GGA-PBE.

Summary:
magnetic moment	0.000	μB/atom
density of states at the Fermi level	4.64	states/eV/f.u.
DFT formation energy	950	meV/atom
polymorph energy (0 for the lowest one)	792.4	meV per atom
total energy	-5.564	eV per atom

The structure in CIF format:
```
data_Li2RuW
_chemical_formula_sum 'Li8 Ru4 W4'
_space_group_name_H-M_alt 'I -4 2 d'
_space_group_IT_number 122
_space_group_name_Hall 'I -4 2bw'
_cell_length_a 6.818
_cell_length_b 6.818
_cell_length_c 4.874
_cell_angle_alpha 90.00
_cell_angle_beta 90.00
_cell_angle_gamma 90.00
loop_
_atom_site_label
_atom_site_fract_x
_atom_site_fract_y
_atom_site_fract_z
Li1 0.234 0.250 0.125
Ru1 0.000 0.000 0.000
W1 0.000 0.000 0.500
```

(5)
A geometry-optimized Li2RuW structure, computed with GGA-PBE.

Summary:
magnetic moment	0.093	μB/atom
density of states at the Fermi level	4.45	states/eV/f.u.
DFT formation energy	462	meV/atom
polymorph energy (0 for the lowest one)	304.0	meV per atom
total energy	-6.053	eV per atom

The structure in CIF format:
```
data_Li2RuW
_chemical_formula_sum 'Li2 Ru1 W1'
_space_group_name_H-M_alt 'P 4/m m m'
_space_group_IT_number 123
_space_group_name_Hall '-P 4 2'
_cell_length_a 2.551
_cell_length_b 2.551
_cell_length_c 9.011
_cell_angle_alpha 90.00
_cell_angle_beta 90.00
_cell_angle_gamma 90.00
loop_
_atom_site_label
_atom_site_fract_x
_atom_site_fract_y
_atom_site_fract_z
Li1 0.000 0.000 0.237
Ru1 0.500 0.500 0.000
W1 0.500 0.500 0.500
```

(6)
A geometry-optimized Li2RuW structure, computed with GGA-PBE.

Summary:
magnetic moment	0.000	μB/atom
density of states at the Fermi level	2.72	states/eV/f.u.
DFT formation energy	317	meV/atom
polymorph energy (0 for the lowest one)	159.2	meV per atom
total energy	-6.197	eV per atom

The structure in CIF format:
```
data_Li2RuW
_chemical_formula_sum 'Li4 Ru2 W2'
_space_group_name_H-M_alt 'C 1 m 1'
_space_group_IT_number 8
_cell_length_a 8.722
_cell_length_b 2.643
_cell_length_c 5.182
_cell_angle_alpha 90.00
_cell_angle_beta 94.65
_cell_angle_gamma 90.00
loop_
_space_group_symop_operation_xyz
'x,y,z'
'x,-y,z'
'x+1/2,y+1/2,z'
'x+1/2,-y+1/2,z'
loop_
_atom_site_label
_atom_site_fract_x
_atom_site_fract_y
_atom_site_fract_z
Li1 0.000 0.000 0.000
Li2 0.245 0.000 0.791
Ru1 0.006 0.500 0.495
W1 0.252 0.500 0.310
```